KTc2Ge2 after structural relaxation. Source: the Alexandria database, functional PBE.

Cell: 4.701 4.701 5.655 Å, 65.44 65.44 90.00°
Element x y z (fractional)
K  0.000  0.000  0.000
Ge  0.750  0.250  0.500
Ge  0.250  0.750  0.500
Tc  0.378  0.378  0.244
Tc  0.622  0.622  0.756

Results
DFT formation energy: 280 meV per atom
Fermi-level density of states: 3.57 states/eV per cell
space group: I4/mmm, No. 139
magnetization: 0.0 μB/f.u.